This record from the Alexandria database describes a relaxed structure of MnVOsF2. The functional is PBE with a Hubbard U.

The structure in POSCAR format:
```
MnVOsF2
1.0
3.7813 0.0000 0.0000
0.0000 3.7813 0.0000
0.0000 0.0000 7.2385
Mn V Os F
1 1 1 2
direct
0.0000 0.0000 0.0000 Mn
0.0000 0.0000 0.5000 V
0.5000 0.5000 0.5000 Os
0.0000 0.5000 0.0000 F
0.5000 0.0000 0.0000 F
```

- symmetry = P4/mmm (123)
- DFT total energy (eV/atom) = -6.19